[1]
Compound: HfCo2Ag
Source: Alexandria
Functional: GGA-PBE
Structure: optimized geometry

Energy relative to the lowest polymorph listed for this composition: 11.995 kcal/mol of atoms
M_tot: 3.147 μB/cell
ΔH_f (0 K): 0.54 eV per atom
DFT total energy: -0.2282 Ha/atom
N(E_F): 7.817 states/eV per cell

a = 3.9052 Å, b = 3.9052 Å, c = 9.1038 Å
α = 77.61°, β = 77.61°, γ = 90.00°
Last column: nearest neighbours and their distance in Å.
Fractional positions:
Co1 0.6644 0.1250 0.2500  2 Hf 2.52, 2 Co 2.55, 2 Ag 2.63
Co2 0.0856 0.6250 0.2500  2 Hf 2.52, 2 Co 2.55, 2 Ag 2.63
Co3 0.3750 0.3356 0.7500  2 Hf 2.52, 2 Co 2.55, 2 Ag 2.63
Co4 0.8750 0.9144 0.7500  2 Hf 2.52, 2 Co 2.55, 2 Ag 2.63
Hf1 0.0000 0.0000 0.0000  4 Co 2.52, 4 Ag 2.76
Hf2 0.7500 0.2500 0.5000  4 Co 2.52, 4 Ag 2.76
Ag1 0.5000 0.5000 0.0000  4 Co 2.63, 4 Hf 2.76
Ag2 0.2500 0.7500 0.5000  4 Co 2.63, 4 Hf 2.76


[2]
Compound: La2PuHg
Source: Alexandria
Functional: GGA-PBE
Structure: optimized geometry

Energy relative to the lowest polymorph listed for this composition: 2.210 kcal/mol of atoms
M_tot: 6.334 μB/cell
ΔH_f (0 K): -0.05 eV per atom
DFT total energy: -0.2269 Ha/atom
N(E_F): 8.909 states/eV per cell

a = 3.7010 Å, b = 3.7010 Å, c = 10.8447 Å
α = 80.18°, β = 80.18°, γ = 60.00°
Last column: nearest neighbours and their distance in Å.
Fractional positions:
La1 0.0814 0.0814 0.7558  3 Hg 3.35, 3 Pu 3.43, 6 La 3.70
La2 0.2524 0.2524 0.2429  3 Hg 3.37, 3 Pu 3.49, 6 La 3.70
Pu1 0.4990 0.4990 0.5030  6 La 3.43-3.49, 6 Pu 3.70
Hg1 0.6672 0.6672 0.9983  6 La 3.35-3.37, 6 Hg 3.70


[3]
Compound: NpInCuHg
Source: Alexandria
Functional: GGA-PBE
Structure: optimized geometry

M_tot: 4.205 μB/cell
ΔH_f (0 K): 0.17 eV per atom
DFT total energy: -0.1780 Ha/atom
N(E_F): 8.424 states/eV per cell

a = 4.9899 Å, b = 4.9899 Å, c = 4.9899 Å
α = 60.00°, β = 60.00°, γ = 60.00°
Last column: nearest neighbours and their distance in Å.
Fractional positions:
Np1 0.0000 0.0000 0.0000  4 Hg 3.06, 4 Cu 3.06
Hg1 0.7500 0.7500 0.7500  4 In 3.06, 4 Np 3.06
Cu1 0.2500 0.2500 0.2500  4 Np 3.06, 4 In 3.06
In1 0.5000 0.5000 0.5000  4 Cu 3.06, 4 Hg 3.06


[4]
Compound: ZrZnRe2
Source: Alexandria
Functional: GGA-PBE
Structure: optimized geometry

M_tot: 0.000 μB/cell
ΔH_f (0 K): 0.17 eV per atom
DFT total energy: -0.3126 Ha/atom
N(E_F): 3.143 states/eV per cell

a = 2.7813 Å, b = 2.7813 Å, c = 9.0384 Å
α = 90.00°, β = 90.00°, γ = 108.74°
Last column: nearest neighbours and their distance in Å.
Fractional positions:
Re1 0.0000 0.0000 0.0139  6 Re 2.64-2.78, 2 Zr 2.84
Re2 0.5000 0.5000 0.2450  6 Re 2.64-2.78, 2 Zn 2.71
Zn1 0.0000 0.0000 0.4851  2 Re 2.71, 4 Zn 2.78, 2 Zr 2.94
Zr1 0.5000 0.5000 0.7560  4 Zr 2.78, 2 Re 2.84, 2 Zn 2.94


[5]
Compound: Pr3Sm6Er2Tm
Source: Alexandria
Functional: GGA-PBE
Structure: optimized geometry

M_tot: 0.000 μB/cell
ΔH_f (0 K): 0.02 eV per atom
DFT total energy: -0.1715 Ha/atom
N(E_F): 16.626 states/eV per cell

a = 6.2755 Å, b = 6.2755 Å, c = 11.9757 Å
α = 95.01°, β = 95.01°, γ = 120.01°
Last column: nearest neighbours and their distance in Å.
Fractional positions:
Pr1 0.1667 0.8333 0.5000  6 Pr 3.62, 6 Sm 3.67
Pr2 0.8333 0.1667 0.5000  6 Pr 3.62, 6 Sm 3.67
Pr3 0.5000 0.5000 0.5000  6 Pr 3.62, 6 Sm 3.67
Sm1 0.9184 0.5852 0.7561  2 Er 3.56, 1 Tm 3.56, 6 Sm 3.62, 3 Pr 3.67
Sm2 0.7485 0.7485 0.2440  1 Tm 3.56, 2 Er 3.56, 6 Sm 3.62, 3 Pr 3.67
Sm3 0.0816 0.4148 0.2439  2 Er 3.56, 1 Tm 3.56, 6 Sm 3.62, 3 Pr 3.67
Sm4 0.5852 0.9184 0.7561  2 Er 3.56, 1 Tm 3.56, 6 Sm 3.62, 3 Pr 3.67
Sm5 0.2515 0.2515 0.7560  1 Tm 3.56, 2 Er 3.56, 6 Sm 3.62, 3 Pr 3.67
Sm6 0.4148 0.0816 0.2439  2 Er 3.56, 1 Tm 3.56, 6 Sm 3.62, 3 Pr 3.67
Er1 0.3334 0.6666 0.0000  6 Sm 3.56, 3 Er 3.62, 3 Tm 3.62
Er2 0.6666 0.3334 0.0000  6 Sm 3.56, 3 Er 3.62, 3 Tm 3.62
Tm1 0.0000 0.0000 0.0000  6 Sm 3.56, 6 Er 3.62


[6]
Compound: HfZn3Fe
Source: Alexandria
Functional: GGA-PBE
Structure: optimized geometry

Energy relative to the lowest polymorph listed for this composition: 0.000 kcal/mol of atoms
M_tot: 1.846 μB/cell
ΔH_f (0 K): 0.47 eV per atom
DFT total energy: -0.1464 Ha/atom
N(E_F): 1.748 states/eV per cell

a = 4.4547 Å, b = 4.4547 Å, c = 4.4547 Å
α = 90.00°, β = 90.00°, γ = 90.00°
Last column: nearest neighbours and their distance in Å.
Fractional positions:
Zn1 0.0000 0.5000 0.0000  2 Fe 2.23
Zn2 0.0000 0.0000 0.5000  2 Fe 2.23
Zn3 0.5000 0.0000 0.0000  2 Fe 2.23
Hf1 0.5000 0.5000 0.5000  12 Zn 3.15
Fe1 0.0000 0.0000 0.0000  6 Zn 2.23